(1)
The following is a DFT calculation (PBE) of a geometry-optimized K2RbBa4Sr2 structure.

Structure (POSCAR):
```
K2RbBa4Sr2
1.0
-2.657 2.703 2.339
3.055 -2.477 2.091
23.008 25.534 -3.374
K Rb Ba Sr
2 1 4 2
direct
0.667 0.333 0.445
0.667 0.333 0.201
0.000 0.000 0.323
0.000 0.000 0.765
0.667 0.333 0.871
0.667 0.333 0.078
0.000 0.000 0.557
0.000 0.000 0.976
0.667 0.333 0.661
```

Formation enthalpy at 0 K   0.047 eV/atom
N(E_F)   1.29 states/eV/atom
VASP energy   -1.53 eV/atom

---

(2)
The following is a DFT calculation (PBE) of a geometry-optimized Ba5Hg2I2 structure.

Structure (POSCAR):
```
Ba5Hg2I2
1.0
-3.084 -8.833 -0.101
8.860 -3.101 0.683
-2.199 -4.291 9.036
Ba I Hg
10 4 4
direct
0.717 0.344 0.247
0.464 0.156 0.753
0.536 0.844 0.247
0.783 0.844 0.753
0.000 0.000 0.000
0.217 0.156 0.247
0.964 0.344 0.753
0.036 0.656 0.247
0.500 0.500 0.000
0.283 0.656 0.753
0.294 0.500 0.412
0.794 0.000 0.412
0.206 0.000 0.588
0.706 0.500 0.588
0.365 0.864 0.000
0.135 0.364 0.000
0.865 0.636 0.000
0.635 0.136 0.000
```

N(E_F)   1.11 states/eV/atom
VASP energy   -2.28 eV/atom

---

(3)
The following is a DFT calculation (PBE) of a geometry-optimized ScIr structure.

Structure (POSCAR):
```
ScIr
1.0
-0.613 -0.406 4.063
-1.659 -2.726 -2.621
4.403 -3.029 0.362
Sc Ir
2 2
direct
0.667 0.333 0.750
0.333 0.667 0.250
0.000 0.000 0.000
0.000 0.000 0.500
```

Formation enthalpy at 0 K   -0.687 eV/atom
N(E_F)   1.35 states/eV/atom
VASP energy   -8.28 eV/atom

---

(4)
The following is a DFT calculation (PBE) of a geometry-optimized VZnCd structure.

Structure (POSCAR):
```
VZnCd
1.0
2.768 0.000 0.000
0.000 2.768 0.000
-1.384 -1.384 6.349
Cd Zn V
1 1 1
direct
0.335 0.335 0.671
0.656 0.656 0.311
0.009 0.009 0.018
```

Formation enthalpy at 0 K   0.169 eV/atom
N(E_F)   0.62 states/eV/atom
VASP energy   -3.60 eV/atom

---

(5)
The following is a DFT calculation (PBE) of a geometry-optimized In2NiOs structure.

Structure (POSCAR):
```
In2NiOs
1.0
2.967 -0.063 0.000
-1.258 2.688 0.000
0.000 0.000 8.681
Os Ni In
1 1 2
direct
0.500 0.500 0.750
0.500 0.500 0.250
0.000 0.000 0.012
0.000 0.000 0.488
```

Formation enthalpy at 0 K   0.440 eV/atom
N(E_F)   0.76 states/eV/atom
VASP energy   -5.18 eV/atom

---

(6)
The following is a DFT calculation (PBE) of a geometry-optimized Ho2Fe5Co12 structure.

Structure (POSCAR):
```
Ho2Fe5Co12
1.0
6.259 0.123 0.660
0.606 6.230 0.660
0.132 0.123 6.292
Fe Co Ho
5 12 2
direct
0.000 0.000 0.500
0.904 0.904 0.904
0.000 0.500 0.000
0.096 0.096 0.096
0.500 0.000 0.000
0.000 0.290 0.710
0.842 0.347 0.347
0.710 0.290 0.000
0.710 0.000 0.290
0.347 0.842 0.347
0.290 0.000 0.710
0.000 0.710 0.290
0.158 0.653 0.653
0.347 0.347 0.842
0.653 0.158 0.653
0.653 0.653 0.158
0.290 0.710 0.000
0.342 0.342 0.342
0.658 0.658 0.658
```

Formation enthalpy at 0 K   -0.107 eV/atom
N(E_F)   1.00 states/eV/atom
VASP energy   -7.30 eV/atom

---

(7)
The following is a DFT calculation (PBE) of a geometry-optimized NaNbHg structure.

Structure (POSCAR):
```
NaNbHg
1.0
8.412 0.000 0.000
0.000 5.996 0.000
0.000 0.000 4.853
Nb Hg Na
4 4 4
direct
0.167 0.750 0.500
0.333 0.250 0.000
0.833 0.250 0.500
0.667 0.750 0.000
0.000 0.000 0.000
0.500 0.500 0.500
0.500 0.000 0.500
0.000 0.500 0.000
0.834 0.750 0.500
0.166 0.250 0.500
0.334 0.750 0.000
0.666 0.250 0.000
```

Formation enthalpy at 0 K   0.951 eV/atom
N(E_F)   1.15 states/eV/atom
VASP energy   -2.95 eV/atom

---

(8)
The following is a DFT calculation (PBE) of a geometry-optimized TbDyGaGe structure.

Structure (POSCAR):
```
TbDyGaGe
1.0
5.066 0.000 0.000
2.533 4.387 0.000
2.533 1.462 4.136
Ge Ga Tb Dy
1 1 1 1
direct
0.500 0.500 0.500
0.000 0.000 0.000
0.750 0.750 0.750
0.250 0.250 0.250
```

Formation enthalpy at 0 K   -0.582 eV/atom
N(E_F)   0.55 states/eV/atom
VASP energy   -4.80 eV/atom

---

(9)
The following is a DFT calculation (PBE) of a geometry-optimized YEr2Tm9 structure.

Structure (POSCAR):
```
YEr2Tm9
1.0
5.823 0.000 0.000
0.000 5.823 0.000
0.000 0.000 10.879
Er Tm Y
2 9 1
direct
0.000 0.000 0.666
0.000 0.000 0.334
0.000 0.500 0.500
0.500 0.500 0.334
0.500 0.000 0.832
0.500 0.500 0.000
0.000 0.500 0.168
0.500 0.000 0.168
0.500 0.000 0.500
0.000 0.500 0.832
0.500 0.500 0.666
0.000 0.000 0.000
```

Formation enthalpy at 0 K   0.133 eV/atom
N(E_F)   2.09 states/eV/atom
VASP energy   -4.52 eV/atom

---

(10)
The following is a DFT calculation (PBE) of a geometry-optimized Mg2Si2GeRh5 structure.

Structure (POSCAR):
```
Mg2Si2GeRh5
1.0
-0.709 1.552 -2.858
-9.136 0.357 2.460
1.453 8.369 4.183
Ge Si Mg Rh
2 4 4 10
direct
0.000 0.000 0.000
0.000 0.500 0.500
0.000 0.629 0.871
0.000 0.371 0.129
0.000 0.129 0.629
0.000 0.871 0.371
0.000 0.671 0.171
0.000 0.171 0.329
0.000 0.829 0.671
0.000 0.329 0.829
0.500 0.075 0.798
0.500 0.425 0.298
0.500 0.500 0.000
0.500 0.298 0.575
0.500 0.925 0.202
0.500 0.798 0.925
0.500 0.575 0.702
0.500 0.202 0.075
0.500 0.000 0.500
0.500 0.702 0.425
```

N(E_F)   0.32 states/eV/atom
VASP energy   -6.26 eV/atom

---

(11)
The following is a DFT calculation (PBE) of a geometry-optimized LaZnCu2 structure.

Structure (POSCAR):
```
LaZnCu2
1.0
4.628 0.000 0.000
0.000 4.628 0.000
2.314 2.314 8.441
Zn Cu La
2 4 2
direct
0.500 0.500 0.000
0.250 0.750 0.500
0.375 0.625 0.250
0.875 0.625 0.750
0.375 0.625 0.750
0.375 0.125 0.250
0.750 0.250 0.500
0.000 0.000 0.000
```

Formation enthalpy at 0 K   0.002 eV/atom
N(E_F)   1.11 states/eV/atom
VASP energy   -3.60 eV/atom

---

(12)
The following is a DFT calculation (PBE) of a geometry-optimized FeCo2 structure.

Structure (POSCAR):
```
FeCo2
1.0
-1.515 -1.644 1.028
0.487 -2.438 -3.181
5.446 -2.783 2.967
Fe Co
2 4
direct
0.311 0.000 0.668
0.689 0.500 0.832
0.427 0.500 0.165
0.003 0.000 0.009
0.573 0.000 0.335
0.997 0.500 0.491
```

Formation enthalpy at 0 K   0.024 eV/atom
N(E_F)   0.94 states/eV/atom
VASP energy   -7.53 eV/atom

---

(13)
The following is a DFT calculation (PBE) of a geometry-optimized Pu structure.

Structure (POSCAR):
```
Pu
1.0
5.295 5.878 0.128
-5.295 5.878 0.128
0.000 4.806 6.260
Pu
17
direct
0.701 0.973 0.395
0.882 0.416 0.947
0.416 0.882 0.947
0.299 0.027 0.605
0.000 0.000 0.000
0.657 0.657 0.247
0.343 0.343 0.753
0.118 0.584 0.053
0.725 0.275 0.500
0.552 0.552 0.764
0.151 0.151 0.224
0.275 0.725 0.500
0.027 0.299 0.605
0.973 0.701 0.395
0.849 0.849 0.776
0.584 0.118 0.053
0.448 0.448 0.236
```

Formation enthalpy at 0 K   0.196 eV/atom
N(E_F)   4.14 states/eV/atom
VASP energy   -14.14 eV/atom

---

(14)
The following is a DFT calculation (PBE) of a geometry-optimized Te2AsPd structure.

Structure (POSCAR):
```
Te2AsPd
1.0
-5.066 0.324 3.722
2.225 -4.776 3.445
1.574 1.853 7.304
As Te Pd
2 4 2
direct
0.500 0.500 0.000
0.250 0.750 0.500
0.098 0.625 0.250
0.375 0.348 0.750
0.875 0.902 0.750
0.652 0.125 0.250
0.000 0.000 0.000
0.750 0.250 0.500
```

N(E_F)   0.82 states/eV/atom
VASP energy   -4.01 eV/atom

---

(15)
The following is a DFT calculation (PBE) of a geometry-optimized RbAuBr4 structure.

Structure (POSCAR):
```
RbAuBr4
1.0
7.538 2.334 1.681
4.748 6.303 1.681
3.742 2.630 14.621
Rb Br Au
2 8 2
direct
0.500 0.000 0.500
0.000 0.500 0.000
0.799 0.298 0.570
0.298 0.799 0.070
0.429 0.929 0.203
0.571 0.071 0.797
0.929 0.429 0.703
0.702 0.201 0.930
0.201 0.702 0.430
0.071 0.571 0.297
0.250 0.750 0.250
0.750 0.250 0.750
```

VASP energy   -2.55 eV/atom

---

(16)
The following is a DFT calculation (PBE) of a geometry-optimized Tm5TlPt2 structure.

Structure (POSCAR):
```
Tm5TlPt2
1.0
7.034 0.000 -3.320
-1.567 6.857 -3.320
-0.241 -0.302 8.600
Tm Pt Tl
10 4 2
direct
0.295 0.795 0.274
0.205 0.021 0.726
0.521 0.705 0.726
0.479 0.295 0.274
0.021 0.521 0.726
0.500 0.500 0.000
0.795 0.979 0.274
0.705 0.205 0.726
0.000 0.000 0.000
0.979 0.479 0.274
0.138 0.362 0.000
0.362 0.862 0.000
0.862 0.638 0.000
0.638 0.138 0.000
0.750 0.750 0.500
0.250 0.250 0.500
```

Formation enthalpy at 0 K   -0.824 eV/atom
N(E_F)   1.17 states/eV/atom
VASP energy   -5.43 eV/atom

---

(17)
The following is a DFT calculation (PBE) of a geometry-optimized La3Ge2Pt3 structure.

Structure (POSCAR):
```
La3Ge2Pt3
1.0
-3.736 -2.250 -0.985
4.632 -1.857 -3.181
3.270 -10.091 10.652
Pt La Ge
6 6 4
direct
0.383 0.766 0.547
0.617 0.234 0.047
0.617 0.234 0.453
0.383 0.766 0.953
0.682 0.364 0.750
0.318 0.636 0.250
0.089 0.179 0.897
0.385 0.769 0.750
0.911 0.821 0.103
0.089 0.179 0.603
0.615 0.231 0.250
0.911 0.821 0.397
0.207 0.414 0.097
0.793 0.586 0.903
0.207 0.414 0.403
0.793 0.586 0.597
```

Formation enthalpy at 0 K   -1.058 eV/atom
N(E_F)   0.74 states/eV/atom
VASP energy   -6.33 eV/atom

---

(18)
The following is a DFT calculation (PBE) of a geometry-optimized NbRu structure.

Structure (POSCAR):
```
NbRu
1.0
7.797 0.000 0.000
0.000 7.797 0.000
0.000 0.000 4.705
Nb Ru
8 8
direct
0.803 0.587 0.500
0.587 0.197 0.500
0.197 0.413 0.500
0.803 0.413 0.000
0.413 0.197 0.000
0.413 0.803 0.500
0.587 0.803 0.000
0.197 0.587 0.000
0.910 0.252 0.500
0.748 0.090 0.000
0.748 0.910 0.500
0.252 0.910 0.000
0.910 0.748 0.000
0.252 0.090 0.500
0.090 0.748 0.500
0.090 0.252 0.000
```

Formation enthalpy at 0 K   0.256 eV/atom
N(E_F)   0.63 states/eV/atom
VASP energy   -9.42 eV/atom

---

(19)
The following is a DFT calculation (PBE) of a geometry-optimized Ti3PtO structure.

Structure (POSCAR):
```
Ti3PtO
1.0
8.584 0.009 -0.011
6.593 5.498 0.011
0.951 -2.620 2.903
Ti O Pt
6 2 2
direct
0.462 0.913 0.831
0.229 0.679 0.831
0.972 0.422 0.831
0.832 0.283 0.331
0.599 0.050 0.331
0.090 0.540 0.331
0.960 0.410 0.331
0.102 0.552 0.831
0.343 0.793 0.331
0.719 0.169 0.831
```

N(E_F)   0.68 states/eV/atom
VASP energy   -8.40 eV/atom

---

(20)
The following is a DFT calculation (PBE) of a geometry-optimized GaWCl2 structure.

Structure (POSCAR):
```
GaWCl2
1.0
1.768 0.000 11.619
-0.884 1.531 11.619
-0.884 -1.531 11.619
Cl Ga W
2 1 1
direct
0.116 0.116 0.116
0.884 0.884 0.884
0.000 0.000 0.000
0.500 0.500 0.500
```

N(E_F)   0.37 states/eV/atom
VASP energy   -4.88 eV/atom

---

(21)
The following is a DFT calculation (PBE) of a geometry-optimized La4MnHg structure.

Structure (POSCAR):
```
La4MnHg
1.0
-2.267 -4.780 3.721
-3.747 1.365 5.092
-6.293 -1.488 -0.124
La Hg Mn
4 1 1
direct
0.874 0.375 0.375
0.375 0.874 0.375
0.375 0.375 0.874
0.375 0.375 0.375
0.000 0.000 0.000
0.750 0.750 0.750
```

Formation enthalpy at 0 K   0.479 eV/atom
N(E_F)   1.55 states/eV/atom
VASP energy   -4.38 eV/atom

---

(22)
The following is a DFT calculation (PBE) of a geometry-optimized HfCd3S structure.

Structure (POSCAR):
```
HfCd3S
1.0
5.604 0.000 0.000
0.000 5.604 0.000
0.000 0.000 5.604
S Hf Cd
1 1 3
direct
0.500 0.500 0.500
0.000 0.000 0.000
0.500 0.000 0.000
0.000 0.000 0.500
0.000 0.500 0.000
```

N(E_F)   0.51 states/eV/atom
VASP energy   -2.29 eV/atom